Pr3CuC2N6 | the Alexandria database | PBE | optimized geometry; total magnetization = 0.00 μB/f.u.; E_tot = -7.7721 eV/atom; uncorrected formation energy = -12.36 kcal/mol of atoms
1.0
-4.5885 2.8683 0.3101
1.2737 -2.5873 -4.5892
-3.0658 -5.1249 2.0384
C Cu N Pr
2 1 6 3
Direct
0.6667 0.3333 0.7434 C
0.3333 0.6667 0.2566 C
0.0000 0.0000 0.5000 Cu
0.1878 0.3755 0.2700 N
0.8122 0.6245 0.7300 N
0.8122 0.1878 0.7300 N
0.3755 0.1878 0.7300 N
0.1878 0.8122 0.2700 N
0.6245 0.8122 0.2700 N
0.3333 0.6667 0.6605 Pr
0.6667 0.3333 0.3395 Pr
0.0000 0.0000 0.0000 Pr

=====

Na2AcNpSe4 | the Alexandria database | PBE | optimized geometry; total magnetization = 4.00 μB/f.u.; E_tot = -5.6425 eV/atom; uncorrected formation energy = -33.19 kcal/mol of atoms
1.0
4.3663 0.0000 0.0000
0.0000 7.5935 0.1208
0.0000 -2.6565 6.9527
Se Np Na Ac
4 1 2 1
Direct
0.5000 0.7388 0.7571 Se
0.0000 0.7308 0.2326 Se
0.0000 0.2692 0.7674 Se
0.5000 0.2612 0.2429 Se
0.5000 0.5000 0.0000 Np
0.0000 0.5000 0.5000 Na
0.5000 0.0000 0.5000 Na
0.0000 0.0000 0.0000 Ac

=====

LiAgSbBr5 | the Alexandria database | PBE | optimized geometry; total magnetization = 0.00 μB/f.u.; E_tot = -2.8276 eV/atom; uncorrected formation energy = -15.48 kcal/mol of atoms
1.0
7.3441 0.1918 -0.9607
-1.9604 7.0802 -0.9607
-3.2732 -4.4212 12.2089
Br Ag Sb Li
10 2 2 2
Direct
0.3746 0.2742 0.0525 Br
0.7144 0.9687 0.2991 Br
0.8412 0.1588 0.7500 Br
0.1588 0.8412 0.2500 Br
0.9687 0.7144 0.7991 Br
0.7258 0.6254 0.4475 Br
0.6254 0.7258 0.9475 Br
0.2856 0.0313 0.7009 Br
0.2742 0.3746 0.5525 Br
0.0313 0.2856 0.2009 Br
0.2982 0.7018 0.7500 Ag
0.7018 0.2982 0.2500 Ag
0.6148 0.3852 0.7500 Sb
0.3852 0.6148 0.2500 Sb
0.0000 0.0000 0.5000 Li
0.0000 0.0000 0.0000 Li

=====

ZrSc2H | the Alexandria database | PBE | optimized geometry; total magnetization = 0.00 μB/f.u.; E_tot = -6.3325 eV/atom; energy above the lowest structure with this stoichiometry = 0.04 eV per formula unit
1.0
3.2486 0.0000 0.0000
1.6243 2.8134 0.0000
1.6243 0.9378 7.7861
Sc Zr H
2 1 1
Direct
0.2781 0.2781 0.1658 Sc
0.0573 0.0573 0.8280 Sc
0.4993 0.4993 0.5021 Zr
0.6653 0.6653 0.0041 H

=====

U3OsO | the Alexandria database | PBE | optimized geometry; total magnetization = 2.12 μB/f.u.; E_tot = -10.8250 eV/atom; uncorrected formation energy = -18.78 kcal/mol of atoms
1.0
3.3802 -0.0004 0.0000
-1.6904 5.1440 0.0000
0.0000 0.0000 10.3799
U O Os
6 2 2
Direct
0.6601 0.3203 0.9733 U
0.0584 0.1170 0.2500 U
0.9416 0.8830 0.7500 U
0.3399 0.6797 0.0267 U
0.3399 0.6797 0.4733 U
0.6601 0.3203 0.5267 U
0.0000 0.0000 0.0000 O
0.0000 0.0000 0.5000 O
0.2324 0.4660 0.7500 Os
0.7676 0.5340 0.2500 Os

=====

Ho4AlPt | the Alexandria database | PBE | optimized geometry; total magnetization = 0.00 μB/f.u.; E_tot = -5.3280 eV/atom; energy above the lowest structure with this stoichiometry = 0.00 eV per formula unit
1.0
-4.1207 8.1226 2.8818
-9.4887 0.4443 1.0139
-3.8500 0.5693 8.7244
Ho Pt Al
16 4 4
Direct
0.8143 0.1857 0.1857 Ho
0.3956 0.8132 0.3956 Ho
0.5577 0.5577 0.9423 Ho
0.1857 0.8143 0.1857 Ho
0.8143 0.1857 0.8143 Ho
0.1857 0.8143 0.8143 Ho
0.9423 0.9423 0.5577 Ho
0.3956 0.3956 0.8132 Ho
0.8132 0.3956 0.3956 Ho
0.8143 0.8143 0.1857 Ho
0.5577 0.9423 0.9423 Ho
0.1857 0.1857 0.8143 Ho
0.5577 0.9423 0.5577 Ho
0.9423 0.5577 0.5577 Ho
0.3956 0.3956 0.3956 Ho
0.9423 0.5577 0.9423 Ho
0.1810 0.6063 0.6063 Pt
0.6063 0.1810 0.6063 Pt
0.6063 0.6063 0.6063 Pt
0.6063 0.6063 0.1810 Pt
0.1723 0.4832 0.1723 Al
0.1723 0.1723 0.1723 Al
0.1723 0.1723 0.4832 Al
0.4832 0.1723 0.1723 Al

=====

Th2Ga4Rh5 | the Alexandria database | PBE | optimized geometry; total magnetization = 0.00 μB/f.u.; E_tot = -6.5552 eV/atom
1.0
-4.1740 -3.8936 0.6787
0.0213 -4.7613 -2.8404
1.8300 -5.1924 5.8093
Rh Ga Th
5 4 2
Direct
0.2500 0.5000 0.5000 Rh
0.0000 0.5000 0.0000 Rh
0.5000 0.5000 0.0000 Rh
0.7500 0.5000 0.5000 Rh
0.5000 0.0000 0.0000 Rh
0.2145 0.3093 0.2616 Ga
0.4761 0.3093 0.7384 Ga
0.5239 0.6907 0.2616 Ga
0.7855 0.6907 0.7384 Ga
0.8728 0.0000 0.2544 Th
0.1272 0.0000 0.7456 Th

=====

Cs2ZrAg2Te6 | the Alexandria database | PBE | optimized geometry; total magnetization = 0.00 μB/f.u.; E_tot = -3.5965 eV/atom; uncorrected formation energy = -9.97 kcal/mol of atoms
1.0
-1.8149 6.3010 -3.3869
-6.7817 -4.2709 3.7294
7.4301 4.4410 4.2805
Te Ag Cs Zr
6 2 2 1
Direct
0.2822 0.0057 0.2541 Te
0.2503 0.5006 0.1799 Te
0.2765 0.9943 0.7459 Te
0.7497 0.4994 0.8201 Te
0.7235 0.0057 0.2541 Te
0.7178 0.9943 0.7459 Te
0.1174 0.2347 0.2546 Ag
0.8826 0.7653 0.7454 Ag
0.7520 0.5040 0.2378 Cs
0.2480 0.4960 0.7622 Cs
0.5000 0.0000 0.5000 Zr

=====

ZrScHg2 | the Alexandria database | PBE | optimized geometry; total magnetization = 0.00 μB/f.u.; E_tot = -4.0238 eV/atom; energy above the lowest structure with this stoichiometry = 0.52 eV per formula unit
1.0
9.5021 -0.0706 -0.0416
8.9227 3.2683 -0.0416
8.9227 1.5486 2.8785
Sc Zr Hg
1 1 2
Direct
0.2500 0.2500 0.2500 Sc
0.7500 0.7500 0.7500 Zr
0.9982 0.9982 0.9982 Hg
0.5018 0.5018 0.5018 Hg

=====

LiBi2As2Pd7 | the Alexandria database | PBE | optimized geometry; total magnetization = 0.00 μB/f.u.; E_tot = -4.8949 eV/atom
1.0
-0.4123 -1.7925 -3.6110
3.9767 -0.7757 -0.0828
0.2784 -13.9548 3.6755
As Pd Bi Li
2 7 2 1
Direct
0.3305 0.3305 0.2398 As
0.6695 0.6695 0.7602 As
0.5981 0.0985 0.8612 Pd
0.4019 0.9015 0.1388 Pd
0.9015 0.4019 0.1388 Pd
0.2208 0.2208 0.4221 Pd
0.5000 0.5000 0.0000 Pd
0.0985 0.5981 0.8612 Pd
0.7792 0.7792 0.5779 Pd
0.7362 0.7362 0.3891 Bi
0.2638 0.2638 0.6109 Bi
0.0000 0.0000 0.0000 Li

=====

CsKHg2 | the Alexandria database | PBE | optimized geometry; total magnetization = 0.00 μB/f.u.; E_tot = -0.8269 eV/atom; energy above the lowest structure with this stoichiometry = 0.19 eV per formula unit
1.0
0.1801 2.7259 5.6756
-4.4113 -1.3563 4.2867
1.4909 -3.4065 5.0841
Hg K Cs
2 1 1
Direct
0.7500 0.7500 0.7500 Hg
0.2500 0.2500 0.2500 Hg
0.0000 0.0000 0.0000 K
0.5000 0.5000 0.5000 Cs

=====

Ca3InSi2Pt9 | the Alexandria database | PBE | optimized geometry; total magnetization = 0.00 μB/f.u.; E_tot = -5.5940 eV/atom; uncorrected formation energy = -15.30 kcal/mol of atoms
1.0
-0.7497 0.4310 -5.6460
3.1960 -4.2214 2.1425
-8.9386 -6.4135 0.6974
Ca In Pt Si
3 1 9 2
Direct
0.6667 0.3333 0.3953 Ca
0.0000 0.0000 0.0000 Ca
0.3333 0.6667 0.6047 Ca
0.0000 0.0000 0.5000 In
0.1606 0.8394 0.3013 Pt
0.6788 0.8394 0.3013 Pt
0.5000 0.5000 0.0000 Pt
0.5000 0.0000 0.0000 Pt
0.0000 0.5000 0.0000 Pt
0.8394 0.6788 0.6987 Pt
0.3212 0.1606 0.6987 Pt
0.1606 0.3212 0.3013 Pt
0.8394 0.1606 0.6987 Pt
0.6667 0.3333 0.8429 Si
0.3333 0.6667 0.1571 Si

=====

Cu2MoW | the Alexandria database | PBE | optimized geometry; total magnetization = 0.00 μB/f.u.; E_tot = -7.6277 eV/atom; energy above the lowest structure with this stoichiometry = 0.72 eV per formula unit
1.0
-1.9211 -0.7268 -4.3470
0.0376 -2.4669 -4.1265
-3.1623 -3.4124 1.1603
Cu W Mo
2 1 1
Direct
0.5005 0.5005 0.4986 Cu
0.9995 0.9995 0.0014 Cu
0.2500 0.2500 0.2500 W
0.7500 0.7500 0.7500 Mo

=====

RePW | the Alexandria database | PBE | optimized geometry; total magnetization = 0.00 μB/f.u.; E_tot = -10.1453 eV/atom; energy above the lowest structure with this stoichiometry = 0.67 eV per formula unit
1.0
1.7067 2.3176 0.1625
-2.7824 0.2052 0.7257
1.3880 -1.4234 5.7238
W Re P
1 1 1
Direct
0.3333 0.6667 0.6802 W
0.6667 0.3333 0.3125 Re
0.0000 0.0000 0.0073 P

=====

InSi4Sb | the Alexandria database | PBE | optimized geometry; total magnetization = 0.00 μB/f.u.; E_tot = -4.2528 eV/atom; uncorrected formation energy = 11.67 kcal/mol of atoms
1.0
0.0000 3.8320 3.8320
3.8320 0.0000 3.8320
3.8320 3.8320 0.0000
In Si Sb
1 4 1
Direct
0.7500 0.7500 0.7500 In
0.3753 0.3753 0.3753 Si
0.3753 0.3753 0.8740 Si
0.3753 0.8740 0.3753 Si
0.8740 0.3753 0.3753 Si
0.0000 0.0000 0.0000 Sb

=====

Pm3Nd6HoEr2 | the Alexandria database | PBE | optimized geometry; total magnetization = 0.00 μB/f.u.; E_tot = -4.6990 eV/atom
1.0
6.3053 -0.0016 0.0079
-3.1525 5.4606 0.0079
-1.0645 -1.8432 11.7751
Pm Nd Er Ho
3 6 2 1
Direct
0.8334 0.1666 0.5000 Pm
0.5000 0.5000 0.5000 Pm
0.1666 0.8334 0.5000 Pm
0.7492 0.7492 0.2459 Nd
0.5839 0.9173 0.7540 Nd
0.4161 0.0827 0.2460 Nd
0.9173 0.5839 0.7540 Nd
0.0827 0.4161 0.2460 Nd
0.2508 0.2508 0.7541 Nd
0.6667 0.3333 0.0000 Er
0.3333 0.6667 0.0000 Er
0.0000 0.0000 0.0000 Ho

=====

RbMnI3 | the Alexandria database | PBE | optimized geometry; total magnetization = 0.09 μB/f.u.; E_tot = -3.2632 eV/atom; uncorrected formation energy = -7.05 kcal/mol of atoms
1.0
0.0000 7.2729 7.2729
7.2729 0.0000 7.2729
7.2729 7.2729 0.0000
Rb Mn I
4 4 12
Direct
0.1250 0.6250 0.6250 Rb
0.6250 0.1250 0.6250 Rb
0.6250 0.6250 0.1250 Rb
0.6250 0.6250 0.6250 Rb
0.1250 0.1250 0.1250 Mn
0.1250 0.6250 0.1250 Mn
0.1250 0.1250 0.6250 Mn
0.6250 0.1250 0.1250 Mn
0.0556 0.0556 0.4444 I
0.1944 0.8056 0.1944 I
0.8056 0.8056 0.1944 I
0.1944 0.8056 0.8056 I
0.0556 0.4444 0.0556 I
0.4444 0.0556 0.0556 I
0.4444 0.4444 0.0556 I
0.4444 0.0556 0.4444 I
0.8056 0.1944 0.1944 I
0.8056 0.1944 0.8056 I
0.1944 0.1944 0.8056 I
0.0556 0.4444 0.4444 I

=====

Y2AsPb | the Alexandria database | PBE | optimized geometry; total magnetization = 0.00 μB/f.u.; E_tot = -6.3374 eV/atom; energy above the lowest structure with this stoichiometry = 0.00 eV per formula unit
1.0
4.0488 0.0009 0.0044
2.0252 3.5059 0.0044
2.0147 1.1633 7.8224
Y As Pb
2 1 1
Direct
0.0132 0.0132 0.9613 Y
0.4868 0.4868 0.5387 Y
0.7500 0.7500 0.7500 As
0.2500 0.2500 0.2500 Pb

=====

Na7MnN3 | the Alexandria database | PBE | optimized geometry; total magnetization = 0.00 μB/f.u.; E_tot = -3.9791 eV/atom; uncorrected formation energy = -0.82 kcal/mol of atoms
1.0
-3.9292 2.6763 -4.8289
-6.7907 -0.4942 0.4969
-1.9469 6.6618 0.5218
Na Mn N
7 1 3
Direct
0.8720 0.4163 0.3493 Na
0.3153 0.9244 0.4450 Na
0.7836 0.0850 0.8513 Na
0.2983 0.5802 0.8232 Na
0.8474 0.9259 0.3792 Na
0.3625 0.4163 0.3493 Na
0.2801 0.0850 0.8513 Na
0.8585 0.5895 0.6934 Mn
0.0203 0.3067 0.6527 N
0.0319 0.7266 0.6371 N
0.6044 0.7266 0.6371 N

=====

Ca2Be2Au5 | the Alexandria database | PBE | optimized geometry; total magnetization = 0.00 μB/f.u.; E_tot = -3.5463 eV/atom
1.0
-3.0279 3.0309 -0.6651
-3.0668 -2.7814 1.2868
0.9790 2.8349 8.4612
Ca Au Be
2 5 2
Direct
0.0000 0.0000 0.5000 Ca
0.0000 0.0000 0.0000 Ca
0.5000 0.0000 0.7472 Au
0.5000 0.5000 0.5000 Au
0.5000 0.0000 0.2528 Au
0.0000 0.5000 0.7472 Au
0.0000 0.5000 0.2528 Au
0.5000 0.5000 0.8627 Be
0.5000 0.5000 0.1373 Be